{
  "formula": "YNiNO2",
  "functional": "PBE+U",
  "state": "relaxed",
  "total_energy_ev_per_atom": -5.471,
  "magmom_total_mub_per_cell": 4.009,
  "lattice": [[4.353, 0.000, 0.000], [0.000, 4.353, 0.000], [0.000, 0.000, 4.490]],
  "species": ["Ni", "O", "N", "O", "Y"],
  "fractional_positions": [[0.500, 0.500, 0.500], [0.500, 0.000, 0.000], [0.000, 0.000, 0.500], [0.000, 0.500, 0.000], [0.000, 0.000, 0.000]]
}